Computed, not measured: a relaxed structure of KRbSrTe2 at the GGA-PBE level of DFT.

Cell lengths 6.350, 5.653, 6.350 Å; angles 90.00, 90.00, 90.00 degrees
Element x y z (fractional)
1 Te 0.500 0.000 0.000
2 Te 0.000 0.000 0.500
3 K 0.000 0.000 0.000
4 Sr 0.000 0.500 0.000
5 Rb 0.500 0.500 0.500

Results
Symmetry = P4/mmm (123)
Energy relative to the elements, uncorrected = -25.31 kJ per mole of atoms

Computed, not measured: a relaxed structure of KRbSr2Tl at the GGA-PBE level of DFT.

Cell lengths 6.564, 6.564, 7.276 Å; angles 90.00, 90.00, 90.00 degrees
Element x y z (fractional)
1 Tl 0.000 0.000 0.000
2 K 0.500 0.500 0.500
3 Sr 0.000 0.500 0.000
4 Sr 0.500 0.000 0.000
5 Rb 0.000 0.000 0.500

Results
Offset from the most stable computed form = 23 meV/atom
Symmetry = P4/mmm (123)

Computed, not measured: a relaxed structure of KRbSr2Tl at the GGA-PBE level of DFT.

Cell lengths 6.567, 6.567, 7.103 Å; angles 90.00, 90.00, 90.00 degrees
Element x y z (fractional)
1 Tl 0.000 0.000 0.000
2 Rb 0.500 0.500 0.500
3 Sr 0.000 0.500 0.000
4 Sr 0.500 0.000 0.000
5 K 0.000 0.000 0.500

Results
Offset from the most stable computed form = 0 meV/atom
Symmetry = P4/mmm (123)